[1]
VASP calculation (SCAN) on a crystal of CaTc2Se relaxed with PBEsol.

abc: 3.3472 4.3486 4.9613
angles: 90.00 90.00 92.64
Closest atoms and distances in Å follow each position.
Fractional positions:
Ca1 0.0000 0.5000 0.5000  4 Se 2.68-2.80, 4 Tc 2.97
Se1 0.5000 0.0000 0.5000  4 Ca 2.68-2.80, 4 Tc 2.76
Tc1 0.3436 0.2438 0.0000  2 Tc 2.41-2.42
Tc2 0.6564 0.7562 0.0000  2 Tc 2.41-2.42

Results
- symmetry = P2/m
- formation energy without anion corrections (eV/atom) = 0.195
- crystal system = monoclinic

[2]
VASP calculation (SCAN) on a crystal of TcAg2Hg relaxed with PBEsol.

abc: 2.8074 4.8631 4.9121
angles: 90.00 90.00 90.00
Closest atoms and distances in Å follow each position.
Fractional positions:
Ag1 0.5000 0.5000 0.0000  6 Ag 2.81, 4 Tc 2.83
Ag2 0.0000 0.0000 0.0000  6 Ag 2.81, 4 Hg 2.83
Hg1 0.5000 0.0000 0.5000  2 Hg 2.81, 4 Tc 2.81, 4 Ag 2.83
Tc1 0.0000 0.5000 0.5000  2 Tc 2.81, 4 Hg 2.81, 4 Ag 2.83

Results
- symmetry = Pmmm
- crystal system = orthorhombic
- total energy (eV/atom) = -40.989

[3]
VASP calculation (SCAN) on a crystal of ReOs2Pt relaxed with PBEsol.

abc: 2.7108 4.7299 4.7402
angles: 99.41 90.00 106.65
Closest atoms and distances in Å follow each position.
Fractional positions:
Os1 0.2442 0.4884 0.2387  6 Os 2.66-2.81, 3 Re 2.68-2.75, 3 Pt 2.71-2.79
Os2 0.7558 0.5116 0.7613  6 Os 2.66-2.81, 3 Re 2.68-2.75, 3 Pt 2.71-2.79
Re1 0.5000 0.0000 0.0000  6 Os 2.68-2.75, 2 Re 2.71, 4 Pt 2.73
Pt1 0.0000 0.0000 0.5000  2 Pt 2.71, 6 Os 2.71-2.79, 4 Re 2.73

Results
- symmetry = C2/m
- crystal system = monoclinic
- offset from the most stable computed form (eV per formula unit) = 0.026